No. 1
Material: ZnSbAs2Br
Method: DFT, PBE
State: optimized geometry

Lattice parameters (Å, degrees): 5.3884 5.3884 5.6254 90.00 90.00 90.00
Last column: nearest neighbours and their distance in Å.
Atoms (fractional coordinates):
Zn 0.0000 0.0000 0.0000  4 Br 3.81, 8 As 3.89
Sb 0.5000 0.5000 0.5000  4 As 2.69, 2 Br 2.81
As 0.0000 0.5000 0.5000  2 Sb 2.69
As 0.5000 0.0000 0.5000  2 Sb 2.69
Br 0.5000 0.5000 0.0000  2 Sb 2.81

Results
V: 163.33 Å³ per cell
Uncorrected formation energy: 0.70 eV per atom
Space-group type: P4/mmm, No. 123

No. 2
Material: Sc3TaNb2C6
Method: DFT, PBE
State: optimized geometry

Lattice parameters (Å, degrees): 5.5583 5.5583 5.6298 99.47 99.47 120.01
Last column: nearest neighbours and their distance in Å.
Atoms (fractional coordinates):
Sc 0.0000 0.0000 0.0000  6 C 2.32-2.33
Sc 0.3329 0.6671 0.0000  6 C 2.32-2.33
Sc 0.6671 0.3329 0.0000  6 C 2.32-2.33
Ta 0.5000 0.5000 0.5000  6 C 2.23
Nb 0.1666 0.8334 0.5000  6 C 2.24
Nb 0.8334 0.1666 0.5000  6 C 2.24
C 0.0897 0.4213 0.2636  1 Ta 2.23, 2 Nb 2.24, 3 Sc 2.32-2.33
C 0.2473 0.2473 0.7363  1 Ta 2.23, 2 Nb 2.24, 3 Sc 2.32-2.33
C 0.4213 0.0897 0.2636  1 Ta 2.23, 2 Nb 2.24, 3 Sc 2.32-2.33
C 0.5787 0.9103 0.7364  1 Ta 2.23, 2 Nb 2.24, 3 Sc 2.32-2.33
C 0.7527 0.7527 0.2637  1 Ta 2.23, 2 Nb 2.24, 3 Sc 2.32-2.33
C 0.9103 0.5787 0.7364  1 Ta 2.23, 2 Nb 2.24, 3 Sc 2.32-2.33

Results
Energy of formation: -611 meV/atom
V: 142.22 Å³ per cell
Space-group type: C2/m, No. 12

No. 3
Material: SrFeAsBr2
Method: DFT, PBE
State: optimized geometry

Lattice parameters (Å, degrees): 5.1957 5.1957 4.5247 90.00 90.00 90.00
Last column: nearest neighbours and their distance in Å.
Atoms (fractional coordinates):
Sr 0.0000 0.0000 0.0000  8 Br 3.44, 4 As 3.67
Fe 0.5000 0.5000 0.5000  2 As 2.26
As 0.5000 0.5000 0.0000  2 Fe 2.26
Br 0.0000 0.5000 0.5000  2 Fe 2.60
Br 0.5000 0.0000 0.5000  2 Fe 2.60

Results
V: 122.15 Å³ per cell
Uncorrected formation energy: -0.52 eV per atom
Space-group type: P4/mmm, No. 123

No. 4
Material: LiGaSe
Method: DFT, PBE
State: optimized geometry

Lattice parameters (Å, degrees): 3.7754 4.4989 7.6868 90.00 102.64 90.00
Last column: nearest neighbours and their distance in Å.
Atoms (fractional coordinates):
Li 0.2090 0.0000 0.1499  3 Se 2.64-2.69
Li 0.7910 0.5000 0.8501  3 Se 2.64-2.69
Ga 0.4665 0.4634 0.4285  2 Ga 2.49, 2 Se 2.56
Ga 0.5335 0.9634 0.5715  2 Ga 2.49, 2 Se 2.56
Se 0.1364 0.0045 0.8007  2 Ga 2.56, 3 Li 2.64-2.69
Se 0.8636 0.5045 0.1993  2 Ga 2.56, 3 Li 2.64-2.69

Results
V: 127.40 Å³ per cell
Uncorrected formation energy: -0.75 eV per atom
Space-group type: P2_1, No. 4

No. 5
Material: YHfCuPd
Method: DFT, PBE
State: optimized geometry

Lattice parameters (Å, degrees): 6.7898 6.7898 6.7898 90.00 90.00 90.00
Last column: nearest neighbours and their distance in Å.
Atoms (fractional coordinates):
Y 0.0000 0.0000 0.0000  4 Cu 2.94, 4 Pd 2.94
Y 0.0000 0.5000 0.5000  4 Cu 2.94, 4 Pd 2.94
Y 0.5000 0.0000 0.5000  4 Cu 2.94, 4 Pd 2.94
Y 0.5000 0.5000 0.0000  4 Cu 2.94, 4 Pd 2.94
Hf 0.0000 0.0000 0.5000  4 Pd 2.94, 4 Cu 2.94
Hf 0.0000 0.5000 0.0000  4 Pd 2.94, 4 Cu 2.94
Hf 0.5000 0.0000 0.0000  4 Pd 2.94, 4 Cu 2.94
Hf 0.5000 0.5000 0.5000  4 Pd 2.94, 4 Cu 2.94
Cu 0.2500 0.2500 0.7500  4 Hf 2.94, 4 Y 2.94
Cu 0.2500 0.7500 0.2500  4 Hf 2.94, 4 Y 2.94
Cu 0.7500 0.2500 0.2500  4 Hf 2.94, 4 Y 2.94
Cu 0.7500 0.7500 0.7500  4 Hf 2.94, 4 Y 2.94
Pd 0.2500 0.2500 0.2500  4 Y 2.94, 4 Hf 2.94
Pd 0.2500 0.7500 0.7500  4 Hf 2.94, 4 Y 2.94
Pd 0.7500 0.2500 0.7500  4 Hf 2.94, 4 Y 2.94
Pd 0.7500 0.7500 0.2500  4 Hf 2.94, 4 Y 2.94

Results
Energy of formation: -381 meV/atom
V: 313.02 Å³ per cell
Space-group type: F-43m, No. 216

No. 6
Material: NpScN
Method: DFT, PBE
State: optimized geometry

Lattice parameters (Å, degrees): 3.0943 12.1443 5.9122 90.00 90.00 90.00
Last column: nearest neighbours and their distance in Å.
Atoms (fractional coordinates):
Np 0.0000 0.2275 0.2500  1 N 2.21
Np 0.0000 0.7725 0.7500  1 N 2.21
Np 0.5000 0.2725 0.7500  1 N 2.21
Np 0.5000 0.7275 0.2500  1 N 2.21
Sc 0.0000 0.5000 0.0000  4 N 2.21
Sc 0.0000 0.5000 0.5000  4 N 2.21
Sc 0.5000 0.0000 0.0000  4 N 2.21
Sc 0.5000 0.0000 0.5000  4 N 2.21
N 0.0000 0.0456 0.2500  1 Np 2.21, 4 Sc 2.21
N 0.0000 0.9544 0.7500  1 Np 2.21, 4 Sc 2.21
N 0.5000 0.4544 0.7500  1 Np 2.21, 4 Sc 2.21
N 0.5000 0.5456 0.2500  1 Np 2.21, 4 Sc 2.21

Results
V: 222.17 Å³ per cell
Uncorrected formation energy: -0.60 eV per atom
Space-group type: Cmcm, No. 63

No. 7
Material: Rb5Na2Cd12
Method: DFT, PBE
State: optimized geometry

Lattice parameters (Å, degrees): 10.9186 10.9186 8.0851 92.64 92.64 42.87
Last column: nearest neighbours and their distance in Å.
Atoms (fractional coordinates):
Rb 0.0000 0.0000 0.0000  8 Cd 3.48-3.57
Rb 0.2436 0.2436 0.9362  9 Cd 3.74-3.99, 3 Rb 4.06-4.13
Rb 0.2929 0.2929 0.4555  7 Cd 3.67-3.97, 1 Rb 4.06
Rb 0.7071 0.7071 0.5445  7 Cd 3.67-3.97, 1 Rb 4.06
Rb 0.7564 0.7564 0.0638  9 Cd 3.74-3.99, 3 Rb 4.06-4.13
Na 0.2818 0.7182 0.5000  8 Cd 3.25-3.40, 1 Na 3.48
Na 0.7182 0.2818 0.5000  8 Cd 3.25-3.40, 1 Na 3.48
Cd 0.0628 0.6834 0.7435  3 Cd 3.03-3.19
Cd 0.1106 0.1106 0.5994  4 Cd 3.19-3.20, 2 Na 3.25
Cd 0.2141 0.5887 0.1559  4 Cd 2.99-3.29
Cd 0.3166 0.9372 0.2565  3 Cd 3.03-3.19
Cd 0.4113 0.7859 0.8441  4 Cd 2.99-3.29
Cd 0.4540 0.4540 0.8351  7 Cd 3.04-3.29, 2 Na 3.39
Cd 0.5460 0.5460 0.1649  7 Cd 3.04-3.29, 2 Na 3.39
Cd 0.5887 0.2141 0.1559  4 Cd 2.99-3.29
Cd 0.6834 0.0628 0.7435  3 Cd 3.03-3.19
Cd 0.7859 0.4113 0.8441  4 Cd 2.99-3.29
Cd 0.8894 0.8894 0.4006  4 Cd 3.19-3.20, 2 Na 3.25
Cd 0.9372 0.3166 0.2565  3 Cd 3.03-3.19

Results
Energy of formation: -26 meV/atom
V: 654.94 Å³ per cell
Space-group type: C2/m, No. 12

No. 8
Material: RbTlAu2
Method: DFT, PBE
State: optimized geometry

Lattice parameters (Å, degrees): 7.8171 7.8171 7.8171 90.00 90.00 90.00
Last column: nearest neighbours and their distance in Å.
Atoms (fractional coordinates):
Rb 0.0000 0.0000 0.0000  8 Au 3.38
Rb 0.0000 0.5000 0.5000  8 Au 3.38
Rb 0.5000 0.0000 0.5000  8 Au 3.38
Rb 0.5000 0.5000 0.0000  8 Au 3.38
Tl 0.0000 0.0000 0.5000  8 Au 3.38
Tl 0.0000 0.5000 0.0000  8 Au 3.38
Tl 0.5000 0.0000 0.0000  8 Au 3.38
Tl 0.5000 0.5000 0.5000  8 Au 3.38
Au 0.2500 0.2500 0.2500  4 Tl 3.38, 4 Rb 3.38
Au 0.2500 0.2500 0.7500  4 Tl 3.38, 4 Rb 3.38
Au 0.2500 0.7500 0.2500  4 Tl 3.38, 4 Rb 3.38
Au 0.2500 0.7500 0.7500  4 Tl 3.38, 4 Rb 3.38
Au 0.7500 0.2500 0.2500  4 Tl 3.38, 4 Rb 3.38
Au 0.7500 0.2500 0.7500  4 Tl 3.38, 4 Rb 3.38
Au 0.7500 0.7500 0.2500  4 Tl 3.38, 4 Rb 3.38
Au 0.7500 0.7500 0.7500  4 Tl 3.38, 4 Rb 3.38

Results
Energy of formation: -34 meV/atom
V: 477.67 Å³ per cell
Space-group type: Fm-3m, No. 225

No. 9
Material: TiV
Method: DFT, PBE
State: optimized geometry

Lattice parameters (Å, degrees): 7.0319 7.0319 7.0319 90.00 90.00 90.00
Last column: nearest neighbours and their distance in Å.
Atoms (fractional coordinates):
Ti 0.0000 0.2500 0.5000  4 V 2.49
Ti 0.0000 0.7500 0.5000  4 V 2.49
Ti 0.2500 0.5000 0.0000  4 V 2.49
Ti 0.5000 0.0000 0.2500  4 V 2.49
Ti 0.5000 0.0000 0.7500  4 V 2.49
Ti 0.7500 0.5000 0.0000  4 V 2.49
V 0.0000 0.5000 0.2500  4 Ti 2.49
V 0.0000 0.5000 0.7500  4 Ti 2.49
V 0.2500 0.0000 0.5000  4 Ti 2.49
V 0.5000 0.2500 0.0000  4 Ti 2.49
V 0.5000 0.7500 0.0000  4 Ti 2.49
V 0.7500 0.0000 0.5000  4 Ti 2.49

Results
Energy of formation: 2359 meV/atom
V: 347.72 Å³ per cell
Space-group type: Pm-3n, No. 223